! Ac6Ge3N | Alexandria | PBE | optimized geometry; values from VASP
! - calculated total energy (eV per atom) = -5.3189
! - magnetization (μB/cell) = 0.0
&SYSTEM
  ibrav = 0, nat = 20, ntyp = 3
/
ATOMIC_SPECIES
Ac 227.00 Ac.upf
Ge 72.64 Ge.upf
N 14.01 N.upf
CELL_PARAMETERS angstrom
-2.056 5.853 -3.261
-7.053 0.067 4.567
5.074 5.964 7.748
ATOMIC_POSITIONS angstrom
Ac 2.203 9.569 5.796
Ac 0.069 7.138 3.221
Ac -3.165 5.357 2.049
Ac -0.869 6.527 7.004
Ac -4.103 4.746 5.833
Ac -6.238 2.315 3.257
Ac -0.519 3.672 4.339
Ac -2.029 1.236 1.359
Ac 3.275 5.384 5.692
Ac -7.309 6.499 3.362
Ac -2.006 10.648 7.695
Ac -3.515 8.211 4.715
Ge -3.668 7.808 7.979
Ge -4.554 2.960 0.653
Ge -0.366 4.076 1.074
Ge -3.202 1.881 4.457
Ge 2.537 2.982 3.874
Ge -0.832 10.003 4.597
N -2.017 5.942 4.527
N 0.000 0.000 0.000